1.
! GGA-PBEsol ScCd3F, relaxed; values from VASP
&SYSTEM
  ibrav = 0, nat = 5, ntyp = 3
/
ATOMIC_SPECIES
Sc 44.96 Sc.upf
Cd 112.41 Cd.upf
F 19.00 F.upf
ATOMIC_POSITIONS crystal
Sc 0.000 0.000 0.000
Cd 0.000 0.500 0.500
Cd 0.500 0.000 0.500
Cd 0.500 0.500 0.000
F 0.500 0.500 0.500
CELL_PARAMETERS angstrom
4.709 0.000 0.000
0.000 4.709 0.000
0.000 0.000 4.709
! Relative energy among the computed polymorphs in meV per atom: 0
! Space group: Pm-3m, No. 221

***

2.
! GGA-PBEsol ScCdF2, relaxed; values from VASP
&SYSTEM
  ibrav = 0, nat = 4, ntyp = 3
/
ATOMIC_SPECIES
Sc 44.96 Sc.upf
Cd 112.41 Cd.upf
F 19.00 F.upf
ATOMIC_POSITIONS crystal
Sc 0.000 0.000 0.000
Cd 0.500 0.500 0.500
F 0.382 0.382 0.382
F 0.618 0.618 0.618
CELL_PARAMETERS angstrom
1.502 0.867 8.730
-1.502 0.867 8.730
0.000 -1.734 8.730
! Space group: R-3m, No. 166

***

The following ΔE_f (raw) values (in eV/atom) correspond, in order, to the records above: -0.3782; -2.2803.